CuAg2Rh | PBE-GGA | relaxed

Lattice parameters (Å, degrees): 4.8959 4.8959 4.8959 132.62 132.62 69.25
With the nearest neighbours (Å) after each atom.
Sites, in units of the cell vectors:
Ag 0.0000 0.0000 0.0000  4 Ag 2.78, 4 Rh 2.82, 4 Cu 2.82
Ag 0.5000 0.5000 0.0000  4 Ag 2.78, 4 Cu 2.82, 4 Rh 2.82
Cu 0.2500 0.7500 0.5000  4 Rh 2.78, 8 Ag 2.82
Rh 0.7500 0.2500 0.5000  4 Cu 2.78, 8 Ag 2.82

Computed properties:
- SG = I4/mmm, No. 139
- crystal system = tetragonal
- formation enthalpy at 0 K (eV/f.u.) = 0.91